# CaTb6Tm2

A geometry-optimized CaTb6Tm2 structure (GGA-PBE, Alexandria via LeMat-Bulk).

a = 15.6667 Å, b = 8.5383 Å, c = 11.3251 Å
α = 90.00°, β = 128.29°, γ = 90.00°
Space group C2/c (No. 15)
One atom of each set of equivalent atoms:
Ca 0.0000 0.1615 0.2500
Tb 0.0864 0.2047 0.0164
Tb 0.1298 0.4738 0.7794
Tb 0.1881 0.2672 0.5792
Tm 0.1795 0.0916 0.8217

Output
Its calculated density is 7.44 g cm⁻³. Its spin magnetization is 0.00 μB per formula unit. For the calculated total energy, the calculation gives -4.08 eV per atom. The formation energy is 0.2228 eV per atom.

***

# CaTb3Tm

A geometry-optimized CaTb3Tm structure (GGA-PBE, Alexandria via LeMat-Bulk).

a = 6.6026 Å, b = 17.9656 Å, c = 6.3226 Å
α = 90.00°, β = 90.00°, γ = 90.00°
Space group Cmcm (No. 63)
One atom of each set of equivalent atoms:
Ca 0.0000 0.1862 0.2500
Tb 0.0000 0.0000 0.0000
Tb 0.2405 0.3692 0.2500
Tm 0.0000 0.4519 0.7500

Output
Its calculated density is 6.07 g cm⁻³. Its spin magnetization is 0.00 μB per formula unit. For the calculated total energy, the calculation gives -3.74 eV per atom. The formation energy is 0.3340 eV per atom.

***

# CaTbTm

A geometry-optimized CaTbTm structure (GGA-PBE, Alexandria via LeMat-Bulk).

a = 3.5939 Å, b = 3.5939 Å, c = 9.0661 Å
α = 90.00°, β = 90.00°, γ = 120.00°
Space group P3m1 (No. 156)
One atom of each set of equivalent atoms:
Ca 0.0000 0.0000 0.0000
Tb 0.3333 0.6667 0.6470
Tm 0.6667 0.3333 0.3447

Output
Its calculated density is 6.02 g cm⁻³. As for the relative energy among the computed polymorphs: 0.017 eV per atom. Its spin magnetization is 0.00 μB per formula unit. For the calculated total energy, the calculation gives -3.62 eV per atom. The formation energy is 0.0833 eV per atom.

***

# CaTb6Tm5

A geometry-optimized CaTb6Tm5 structure (GGA-PBE, Alexandria via LeMat-Bulk).

a = 5.0183 Å, b = 15.0925 Å, c = 10.0170 Å
α = 90.00°, β = 90.00°, γ = 90.00°
Space group Cmmm (No. 65)
One atom of each set of equivalent atoms:
Ca 0.0000 0.0000 0.0000
Tb 0.0000 0.1697 0.2540
Tb 0.0000 0.5000 0.2593
Tm 0.0000 0.0000 0.5000
Tm 0.0000 0.3277 0.0000
Tm 0.0000 0.3331 0.5000

Output
Its calculated density is 8.05 g cm⁻³. Its spin magnetization is 0.00 μB per formula unit. For the calculated total energy, the calculation gives -4.30 eV per atom. The formation energy is 0.0497 eV per atom.

***

> Which value of calculated density does entry 1 give?

7.44 g cm⁻³

***

> Number 4 is which compound?

CaTb6Tm5

***

> Among the records above, which one has the highest calculated total energy?

CaTbTm